Here is crystalline HoTmGaAg at its relaxed geometry from the Alexandria database. Energies are from PBE.

extended XYZ file:
```
4
Lattice="0.000 3.581 3.581 3.581 0.000 3.581 3.581 3.581 0.000" Properties=species:S:1:pos:R:3 pbc="T T T"
Ho 0.000 0.000 0.000
Tm 3.581 3.581 3.581
Ga 1.791 1.791 1.791
Ag 5.372 5.372 5.372
```

Summary:
For the formation energy, the calculation gives -45.1 kJ/mol of atoms. For the density of states at the Fermi level, the calculation gives 0.627 states/eV/atom. The space-group type is F-43m (216). The total magnetization is 0.00 μB per cell. The calculation puts the uncorrected energy at -4.200 eV per atom.